# 1
Compound: Zn6Tc2Ge
Source: Alexandria via LeMat-Bulk
Functional: PBE
Structure: optimized geometry

Computed properties:
- Theoretical density: 8.3 g/cm³
- Crystal system: monoclinic
- E: -65.13 eV per cell
- D(E_F): 0.379 states/eV/atom
- Magnetic moment: 0.00 μB per atom

abc: 14.4402 2.7690 6.9188
angles: 90.00 106.18 90.00
Space group C2/m (No. 12)
Inequivalent atoms, fractional coordinates:
Zn1 0.0777 0.0000 0.1455 [4 per cell]
Zn2 0.1725 0.5000 0.4985 [4 per cell]
Zn3 0.2422 0.5000 0.1556 [4 per cell]
Tc1 0.0888 0.5000 0.8053 [4 per cell]
Ge1 0.0000 0.0000 0.5000 [2 per cell]

=====

# 2
Compound: AcZn2IO8
Source: Alexandria via LeMat-Bulk
Functional: PBE
Structure: optimized geometry

Computed properties:
- Theoretical density: 6.2 g/cm³
- E_form (uncorrected): -0.877 eV per atom
- Crystal system: tetragonal
- E: -116.78 eV per cell
- D(E_F): 0.256 states/eV/atom
- Magnetic moment: 0.09 μB per atom

abc: 6.8559 6.8559 7.0125
angles: 90.00 90.00 90.00
Space group I-4m2 (No. 119)
Inequivalent atoms, fractional coordinates:
Ac1 0.0000 0.0000 0.0000 [2 per cell]
Zn1 0.0000 0.0000 0.5000 [2 per cell]
Zn2 0.0000 0.5000 0.2500 [2 per cell]
I1 0.0000 0.5000 0.7500 [2 per cell]
O1 0.0000 0.2154 0.6940 [8 per cell]
O2 0.0000 0.3412 0.0255 [8 per cell]

=====

# 3
Compound: CaLa2N
Source: Alexandria via LeMat-Bulk
Functional: PBE
Structure: optimized geometry

Computed properties:
- Theoretical density: 4.6 g/cm³
- E_form (uncorrected): -0.643 eV per atom
- Crystal system: trigonal
- E: -68.27 eV per cell
- D(E_F): 1.002 states/eV/atom
- Magnetic moment: 0.00 μB per atom

abc: 3.7255 3.7255 29.9336
angles: 90.00 90.00 120.00
Space group R-3m (No. 166, hexagonal axes)
Inequivalent atoms, fractional coordinates:
Ca1 0.0000 0.0000 0.0000 [3 per cell]
La1 0.0000 0.0000 0.2137 [6 per cell]
N1 0.0000 0.0000 0.5000 [3 per cell]

=====

# 4
Compound: InHgN2
Source: Alexandria via LeMat-Bulk
Functional: PBE
Structure: optimized geometry

Computed properties:
- Theoretical density: 8.0 g/cm³
- E_form (uncorrected): 1.334 eV per atom
- Energy above the lowest structure with this stoichiometry: 118.0 kJ/mol of atoms
- Crystal system: trigonal
- E: -43.07 eV per cell
- D(E_F): 0.522 states/eV/atom
- Magnetic moment: 0.00 μB per atom

abc: 3.6266 3.6266 18.6710
angles: 90.00 90.00 120.00
Space group R-3m (No. 166, hexagonal axes)
Inequivalent atoms, fractional coordinates:
In1 0.0000 0.0000 0.0000 [3 per cell]
Hg1 0.0000 0.0000 0.5000 [3 per cell]
N1 0.0000 0.0000 0.1090 [6 per cell]

=====

# 5
Compound: ScGe2Rh
Source: Alexandria via LeMat-Bulk
Functional: PBE
Structure: optimized geometry

Computed properties:
- Theoretical density: 6.6 g/cm³
- Crystal system: tetragonal
- E: -97.49 eV per cell
- D(E_F): 0.589 states/eV/atom
- Magnetic moment: 0.00 μB per atom

abc: 4.0270 4.0270 18.2302
angles: 90.00 90.00 90.00
Space group I-42d (No. 122)
Inequivalent atoms, fractional coordinates:
Sc1 0.0000 0.0000 0.0000 [4 per cell]
Ge1 0.2009 0.2500 0.6250 [8 per cell]
Rh1 0.0000 0.0000 0.5000 [4 per cell]

=====

# 6
Compound: AcNdIrPt
Source: Alexandria via LeMat-Bulk
Functional: PBE
Structure: optimized geometry

Computed properties:
- Theoretical density: 12.3 g/cm³
- Energy above the lowest structure with this stoichiometry: 0.0 kJ/mol of atoms
- Crystal system: orthorhombic
- E: -54.49 eV per cell
- D(E_F): 0.488 states/eV/atom
- Magnetic moment: 0.00 μB per atom

abc: 4.4592 4.0697 11.2479
angles: 90.00 90.00 90.00
Space group Amm2 (No. 38)
Inequivalent atoms, fractional coordinates:
Ac1 0.0000 0.0000 0.0000 [2 per cell]
Nd1 0.5000 0.0000 0.7227 [2 per cell]
Ir1 0.0000 0.0000 0.2694 [2 per cell]
Pt1 0.5000 0.0000 0.4435 [2 per cell]